Entry from Alexandria: MgAgGePd after structural relaxation (PBE-GGA).

Calculated values
spin magnetization	0.00	μB per atom
final energy	-62.103	eV/cell
calculated volume	16.8	A^3/atom
DFT formation energy	-317	meV per atom

abc: 6.449 6.449 6.449
angles: 90.00 90.00 90.00
Space group F-43m (No. 216)
Unique sites:
Mg1 0.000 0.000 0.000 x4
Ag1 0.250 0.250 0.750 x4
Ge1 0.000 0.000 0.500 x4
Pd1 0.250 0.250 0.250 x4